# Cs2HgOsF6

A relaxed structure of Cs2HgOsF6 (GGA-PBE, Alexandria).

Uncorrected energy (eV/atom): -4.429

a b c (Å): 6.9992 6.9992 6.9988
angles (deg): 60.00 60.00 90.00
Each line ends with the local moment (μB).
Atoms (fractional coordinates):
F1 0.3002 0.6998 0.0000  0.06
F2 0.6998 0.3002 0.0000  0.06
Os1 0.5000 0.5000 0.0000  1.55
F3 0.3002 0.3002 0.3996  0.06
Hg1 0.0000 0.0000 0.0000  0.00
F4 0.3002 0.3002 0.0000  0.06
Cs1 0.2500 0.7500 0.5000  0.00
F5 0.6998 0.6998 0.0000  0.06
Cs2 0.7500 0.2500 0.5000  0.00
F6 0.6998 0.6998 0.6004  0.06